Record 1
Computed, not measured: a relaxed Mg3Zn9Ni2 crystal at the GGA-PBE level of DFT.

Output
The formation energy is -0.126 eV/atom. The total energy is -2.11 eV/atom.

a b c (Å): 4.1772 9.7115 10.7871
angles (deg): 90.00 90.00 90.00
Space group Immm (No. 71)
One atom of each set of equivalent atoms:
1 Mg 0.0000 0.0000 0.0000 [2 per cell]
2 Mg 0.0000 0.0000 0.2887 [4 per cell]
3 Zn 0.0000 0.2813 0.1352 [8 per cell]
4 Zn 0.0000 0.3670 0.3728 [8 per cell]
5 Zn 0.0000 0.5000 0.0000 [2 per cell]
6 Ni 0.0000 0.1426 0.5000 [4 per cell]


Record 2
Computed, not measured: a relaxed LaPr4Se7 crystal at the GGA-PBE level of DFT.

Output
The total energy is -5.94 eV/atom.

a b c (Å): 14.0946 4.1539 12.6199
angles (deg): 90.00 104.79 90.00
Space group Cm (No. 8)
One atom of each set of equivalent atoms:
1 La 0.0000 0.0000 0.0000 [2 per cell]
2 Pr 0.1127 0.0000 0.4216 [2 per cell]
3 Pr 0.2251 0.0000 0.8410 [2 per cell]
4 Pr 0.3125 0.5000 0.2337 [2 per cell]
5 Pr 0.4127 0.0000 0.6105 [2 per cell]
6 Se 0.0701 0.0000 0.6367 [2 per cell]
7 Se 0.1133 0.5000 0.9205 [2 per cell]
8 Se 0.1554 0.0000 0.2066 [2 per cell]
9 Se 0.2726 0.5000 0.4716 [2 per cell]
10 Se 0.3525 0.5000 0.7706 [2 per cell]
11 Se 0.3710 0.0000 0.0710 [2 per cell]
12 Se 0.4529 0.0000 0.3715 [2 per cell]


Record 3
Computed, not measured: a relaxed RbScHgI2 crystal at the GGA-PBE level of DFT.

Output
The total energy is -1.94 eV/atom.

a b c (Å): 6.6099 6.6099 6.0447
angles (deg): 90.00 90.00 90.00
Space group P4/mmm (No. 123)
One atom of each set of equivalent atoms:
1 Rb 0.0000 0.0000 0.0000 [1 per cell]
2 Sc 0.5000 0.5000 0.0000 [1 per cell]
3 Hg 0.0000 0.0000 0.5000 [1 per cell]
4 I 0.0000 0.5000 0.5000 [2 per cell]


Record 4
Computed, not measured: a relaxed CaSeS crystal at the GGA-PBE level of DFT.

Output
The total energy is -4.44 eV/atom. The value obtained for the energy above the most stable polymorph in this dataset is 0.038 eV/atom.

a b c (Å): 7.1065 4.9373 5.2710
angles (deg): 90.00 115.70 90.00
Space group Cm (No. 8)
One atom of each set of equivalent atoms:
1 Ca 0.0000 0.0000 0.0000 [2 per cell]
2 Se 0.4708 0.0000 0.3021 [2 per cell]
3 S 0.0561 0.5000 0.7723 [2 per cell]


Record 5
Computed, not measured: a relaxed KSr2ReNi crystal at the GGA-PBE level of DFT.

Output
The formation energy is 2.093 eV/atom. The total energy is -2.44 eV/atom.

a b c (Å): 5.7973 5.7973 4.7802
angles (deg): 90.00 90.00 90.00
Space group P4/mmm (No. 123)
One atom of each set of equivalent atoms:
1 K 0.0000 0.0000 0.0000 [1 per cell]
2 Sr 0.0000 0.5000 0.0000 [2 per cell]
3 Re 0.0000 0.0000 0.5000 [1 per cell]
4 Ni 0.5000 0.5000 0.5000 [1 per cell]


Record 6
Computed, not measured: a relaxed CsPtPbCl6 crystal at the GGA-PBE level of DFT.

Output
The total energy is -3.40 eV/atom.

a b c (Å): 7.0640 7.0701 7.5426
angles (deg): 91.13 91.16 117.91
Space group P1 (No. 1)
One atom of each set of equivalent atoms:
1 Cs 0.0000 0.0000 0.0000 [1 per cell]
2 Pt 0.6714 0.3286 0.5010 [1 per cell]
3 Pb 0.3246 0.6757 0.5000 [1 per cell]
4 Cl 0.3971 0.3284 0.3198 [1 per cell]
5 Cl 0.3981 0.0316 0.7181 [1 per cell]
6 Cl 0.6598 0.0457 0.3214 [1 per cell]
7 Cl 0.6691 0.6009 0.6828 [1 per cell]
8 Cl 0.9557 0.3423 0.6803 [1 per cell]
9 Cl 0.9666 0.6032 0.2842 [1 per cell]


Record 7
Computed, not measured: a relaxed Er6As3PbSe2 crystal at the GGA-PBE level of DFT.

Output
The total energy is -5.76 eV/atom.

a b c (Å): 18.0301 4.0808 8.3560
angles (deg): 90.00 103.51 90.00
Space group C2/m (No. 12)
One atom of each set of equivalent atoms:
1 Er 0.0012 0.0000 0.2346 [4 per cell]
2 Er 0.1646 0.5000 0.0910 [4 per cell]
3 Er 0.1719 0.5000 0.5786 [4 per cell]
4 As 0.0000 0.5000 0.0000 [2 per cell]
5 As 0.1670 0.0000 0.3314 [4 per cell]
6 Pb 0.0000 0.5000 0.5000 [2 per cell]
7 Se 0.1691 0.0000 0.8383 [4 per cell]


Record 8
Computed, not measured: a relaxed SrCo2Pb crystal at the GGA-PBE level of DFT.

Output
The formation energy is 0.497 eV/atom. The total energy is -4.40 eV/atom.

a b c (Å): 3.6035 3.6035 6.7222
angles (deg): 90.00 90.00 90.00
Space group P4/mmm (No. 123)
One atom of each set of equivalent atoms:
1 Sr 0.0000 0.0000 0.0000 [1 per cell]
2 Co 0.5000 0.5000 0.3240 [2 per cell]
3 Pb 0.0000 0.0000 0.5000 [1 per cell]


Record 9
Computed, not measured: a relaxed BaAsAu2 crystal at the GGA-PBE level of DFT.

Output
The formation energy is -0.415 eV/atom. The total energy is -3.70 eV/atom.

a b c (Å): 4.7468 6.2235 7.4999
angles (deg): 90.00 90.00 90.00
Space group Imm2 (No. 44)
One atom of each set of equivalent atoms:
1 Ba 0.0000 0.0000 0.0000 [2 per cell]
2 As 0.0000 0.5000 0.1755 [2 per cell]
3 Au 0.0000 0.0000 0.5385 [2 per cell]
4 Au 0.0000 0.5000 0.8156 [2 per cell]


Record 10
Computed, not measured: a relaxed K2AcCdO4 crystal at the GGA-PBE level of DFT.

Output
The total energy is -5.11 eV/atom.

a b c (Å): 6.0525 3.8168 6.6028
angles (deg): 90.00 106.45 90.00
Space group P2/m (No. 10)
One atom of each set of equivalent atoms:
1 K 0.0000 0.0000 0.0000 [1 per cell]
2 K 0.5000 0.5000 0.0000 [1 per cell]
3 Ac 0.0000 0.5000 0.5000 [1 per cell]
4 Cd 0.5000 0.0000 0.5000 [1 per cell]
5 O 0.2446 0.0000 0.6973 [2 per cell]
6 O 0.2591 0.5000 0.2907 [2 per cell]


Record 11
Computed, not measured: a relaxed Tb3Y8Sc crystal at the GGA-PBE level of DFT.

Output
The formation energy is 0.729 eV/atom. The total energy is -5.27 eV/atom.

a b c (Å): 7.6490 7.6490 15.3404
angles (deg): 90.00 90.00 90.00
Space group I4/mmm (No. 139)
One atom of each set of equivalent atoms:
1 Tb 0.0000 0.0000 0.0000 [2 per cell]
2 Tb 0.0000 0.5000 0.2500 [4 per cell]
3 Y 0.2460 0.2460 0.3773 [16 per cell]
4 Sc 0.0000 0.0000 0.5000 [2 per cell]


Record 12
Computed, not measured: a relaxed As2Rh3 crystal at the GGA-PBE level of DFT.

Output
The formation energy is -0.322 eV/atom. The total energy is -6.59 eV/atom.

a b c (Å): 6.5715 6.5715 12.9712
angles (deg): 90.00 90.00 120.00
Space group R-3c (No. 167, hexagonal axes)
One atom of each set of equivalent atoms:
1 As 0.0000 0.0000 0.1192 [12 per cell]
2 Rh 0.0000 0.2818 0.2500 [18 per cell]


What is the total energy in the second record? -5.94 eV/atom


What did the fifth record say?
Computed, not measured: a relaxed KSr2ReNi crystal at the GGA-PBE level of DFT.

Output
The formation energy is 2.093 eV/atom. The total energy is -2.44 eV/atom.

a b c (Å): 5.7973 5.7973 4.7802
angles (deg): 90.00 90.00 90.00
Space group P4/mmm (No. 123)
One atom of each set of equivalent atoms:
1 K 0.0000 0.0000 0.0000 [1 per cell]
2 Sr 0.0000 0.5000 0.0000 [2 per cell]
3 Re 0.0000 0.0000 0.5000 [1 per cell]
4 Ni 0.5000 0.5000 0.5000 [1 per cell]


Repeat the sixth record exactly.
Computed, not measured: a relaxed CsPtPbCl6 crystal at the GGA-PBE level of DFT.

Output
The total energy is -3.40 eV/atom.

a b c (Å): 7.0640 7.0701 7.5426
angles (deg): 91.13 91.16 117.91
Space group P1 (No. 1)
One atom of each set of equivalent atoms:
1 Cs 0.0000 0.0000 0.0000 [1 per cell]
2 Pt 0.6714 0.3286 0.5010 [1 per cell]
3 Pb 0.3246 0.6757 0.5000 [1 per cell]
4 Cl 0.3971 0.3284 0.3198 [1 per cell]
5 Cl 0.3981 0.0316 0.7181 [1 per cell]
6 Cl 0.6598 0.0457 0.3214 [1 per cell]
7 Cl 0.6691 0.6009 0.6828 [1 per cell]
8 Cl 0.9557 0.3423 0.6803 [1 per cell]
9 Cl 0.9666 0.6032 0.2842 [1 per cell]